No. 1
A plane-wave DFT calculation with PBE was carried out for a geometry-optimized Na3CdIn2 structure.

Crystal system ... monoclinic
Offset from the most stable computed form ... 0 meV per atom

a b c (Å): 6.488 5.220 9.713
angles (deg): 90.00 92.92 90.00
Space group P2_1/m (No. 11)
Inequivalent atoms, fractional coordinates:
Na (0.078, 0.250, 0.368) x2
Na (0.284, 0.750, 0.216) x2
Na (0.378, 0.750, 0.882) x2
Cd (0.236, 0.250, 0.688) x2
In (0.125, 0.250, 0.989) x2
In (0.401, 0.750, 0.551) x2

No. 2
A plane-wave DFT calculation with PBE was carried out for a geometry-optimized NaCd12In16 structure.

Crystal system ... monoclinic

a b c (Å): 11.384 16.185 9.781
angles (deg): 90.00 124.95 90.00
Space group Cm (No. 8)
Inequivalent atoms, fractional coordinates:
Na (0.000, 0.000, 0.000) x2
Cd (0.011, 0.500, 0.531) x2
Cd (0.039, 0.092, 0.728) x4
Cd (0.095, 0.405, 0.098) x4
Cd (0.134, 0.186, 0.537) x4
Cd (0.184, 0.500, 0.904) x2
Cd (0.229, 0.095, 0.348) x4
Cd (0.318, 0.189, 0.915) x4
In (0.112, 0.204, 0.034) x4
In (0.233, 0.500, 0.445) x2
In (0.268, 0.359, 0.724) x4
In (0.307, 0.297, 0.412) x4
In (0.316, 0.000, 0.068) x2
In (0.320, 0.000, 0.720) x2
In (0.379, 0.347, 0.128) x4
In (0.478, 0.159, 0.317) x4
In (0.485, 0.500, 0.383) x2
In (0.487, 0.170, 0.722) x4

No. 3
A plane-wave DFT calculation with PBE was carried out for a geometry-optimized Na2Cd3In4 structure.

Crystal system ... orthorhombic

a b c (Å): 6.231 17.030 9.226
angles (deg): 90.00 90.00 90.00
Space group Cmce (No. 64)
Inequivalent atoms, fractional coordinates:
Na (0.000, 0.099, 0.092) x8
Cd (0.000, 0.000, 0.500) x4
Cd (0.250, 0.243, 0.750) x8
In (0.000, 0.178, 0.490) x8
In (0.250, 0.066, 0.750) x8

No. 4
A plane-wave DFT calculation with PBE was carried out for a geometry-optimized Na2Cd4In5 structure.

Crystal system ... monoclinic

a b c (Å): 14.007 6.007 9.026
angles (deg): 90.00 129.97 90.00
Space group C2/m (No. 12)
Inequivalent atoms, fractional coordinates:
Na (0.174, 0.000, 0.174) x4
Cd (0.243, 0.500, 0.073) x4
Cd (0.243, 0.500, 0.411) x4
In (0.000, 0.250, 0.327) x8
In (0.000, 0.500, 0.000) x2

No. 5
A plane-wave DFT calculation with PBE was carried out for a geometry-optimized NaCd2In4 structure.

Crystal system ... tetragonal
Offset from the most stable computed form ... 25 meV per atom

a b c (Å): 9.020 9.020 4.894
angles (deg): 90.00 90.00 90.00
Space group P4_2/mnm (No. 136)
Inequivalent atoms, fractional coordinates:
Na (0.000, 0.000, 0.000) x2
Cd (0.203, 0.203, 0.500) x4
In (0.094, 0.653, 0.500) x8

No. 6
A plane-wave DFT calculation with PBE was carried out for a geometry-optimized Na14CdIn structure.

Crystal system ... orthorhombic

a b c (Å): 11.692 7.805 11.646
angles (deg): 90.00 90.00 90.00
Space group Amm2 (No. 38)
Inequivalent atoms, fractional coordinates:
Na (0.000, 0.000, 0.000) x2
Na (0.000, 0.000, 0.497) x2
Na (0.000, 0.248, 0.749) x4
Na (0.253, 0.000, 0.230) x4
Na (0.255, 0.000, 0.723) x4
Na (0.271, 0.247, 0.971) x8
Na (0.500, 0.248, 0.181) x4
Cd (0.500, 0.000, 0.924) x2
In (0.500, 0.000, 0.428) x2

No. 7
A plane-wave DFT calculation with PBE was carried out for a geometry-optimized NaCd2In structure.

Crystal system ... trigonal

a b c (Å): 3.3765 3.3765 31.0275
angles (deg): 90.00 90.00 120.00
Space group R-3m (No. 166, hexagonal axes)
Inequivalent atoms, fractional coordinates:
Na (0.0000, 0.0000, 0.0000) x3
Cd (0.0000, 0.0000, 0.2489) x6
In (0.0000, 0.0000, 0.5000) x3

No. 8
A plane-wave DFT calculation with PBE was carried out for a geometry-optimized NaCd7In3 structure.

Crystal system ... trigonal

a b c (Å): 6.3684 6.3684 7.8846
angles (deg): 90.00 90.00 120.00
Space group P3m1 (No. 156)
Inequivalent atoms, fractional coordinates:
Na (0.0000, 0.0000, 0.0000) x1
Cd (0.3333, 0.6667, 0.2950) x1
Cd (0.3429, 0.1715, 0.3278) x3
Cd (0.5062, 0.0125, 0.9806) x3
In (0.1672, 0.3343, 0.6541) x3

No. 9
A plane-wave DFT calculation with PBE was carried out for a geometry-optimized Na8Cd6In structure.

Crystal system ... trigonal
Offset from the most stable computed form ... 0 meV per atom

a b c (Å): 9.4516 9.4516 16.6177
angles (deg): 90.00 90.00 120.00
Space group R-3 (No. 148, hexagonal axes)
Inequivalent atoms, fractional coordinates:
Na (0.0000, 0.0000, 0.1171) x6
Na (0.0880, 0.5469, 0.3352) x18
Cd (0.0000, 0.3343, 0.1664) x18
In (0.0000, 0.0000, 0.5000) x3

No. 10
A plane-wave DFT calculation with PBE was carried out for a geometry-optimized NaCd8In5 structure.

Crystal system ... tetragonal

a b c (Å): 8.739 8.739 9.663
angles (deg): 90.00 90.00 90.00
Space group I-4 (No. 82)
Inequivalent atoms, fractional coordinates:
Na (0.000, 0.000, 0.000) x2
Cd (0.066, 0.157, 0.643) x8
Cd (0.100, 0.358, 0.032) x8
In (0.000, 0.500, 0.750) x2
In (0.172, 0.286, 0.334) x8

No. 11
A plane-wave DFT calculation with PBE was carried out for a geometry-optimized Na3Cd4In8 structure.

Crystal system ... monoclinic

a b c (Å): 12.969 11.762 6.319
angles (deg): 90.00 119.10 90.00
Space group C2/m (No. 12)
Inequivalent atoms, fractional coordinates:
Na (0.000, 0.000, 0.000) x2
Na (0.250, 0.250, 0.500) x4
Cd (0.000, 0.000, 0.500) x2
Cd (0.000, 0.500, 0.000) x2
Cd (0.250, 0.250, 0.000) x4
In (0.000, 0.259, 0.000) x4
In (0.000, 0.267, 0.500) x4
In (0.145, 0.500, 0.587) x4
In (0.249, 0.000, 0.837) x4

No. 12
A plane-wave DFT calculation with PBE was carried out for a geometry-optimized Na5CdIn2 structure.

Crystal system ... orthorhombic

a b c (Å): 6.883 13.715 4.758
angles (deg): 90.00 90.00 90.00
Space group Pbam (No. 55)
Inequivalent atoms, fractional coordinates:
Na (0.000, 0.000, 0.000) x2
Na (0.042, 0.255, 0.000) x4
Na (0.221, 0.873, 0.500) x4
Cd (0.000, 0.500, 0.000) x2
In (0.204, 0.611, 0.500) x4

No. 13
A plane-wave DFT calculation with PBE was carried out for a geometry-optimized NaCd6In2 structure.

Crystal system ... tetragonal
Offset from the most stable computed form ... 0 meV per atom

a b c (Å): 9.757 9.757 4.506
angles (deg): 90.00 90.00 90.00
Space group P4_2/mnm (No. 136)
Inequivalent atoms, fractional coordinates:
Na (0.000, 0.000, 0.000) x2
Cd (0.001, 0.337, 0.000) x8
Cd (0.169, 0.169, 0.500) x4
In (0.168, 0.832, 0.500) x4

No. 14
A plane-wave DFT calculation with PBE was carried out for a geometry-optimized Na12Cd3In structure.

Crystal system ... tetragonal

a b c (Å): 4.905 4.905 20.006
angles (deg): 90.00 90.00 90.00
Space group P4/mmm (No. 123)
Inequivalent atoms, fractional coordinates:
Na (0.000, 0.000, 0.000) x1
Na (0.000, 0.000, 0.248) x2
Na (0.000, 0.000, 0.500) x1
Na (0.000, 0.500, 0.123) x4
Na (0.000, 0.500, 0.374) x4
Cd (0.500, 0.500, 0.000) x1
Cd (0.500, 0.500, 0.250) x2
In (0.500, 0.500, 0.500) x1

No. 15
A plane-wave DFT calculation with PBE was carried out for a geometry-optimized NaCd2In structure.

Crystal system ... tetragonal

a b c (Å): 3.889 3.889 6.570
angles (deg): 90.00 90.00 90.00
Space group P4/mmm (No. 123)
Inequivalent atoms, fractional coordinates:
Na (0.000, 0.000, 0.000) x1
Cd (0.500, 0.500, 0.250) x2
In (0.000, 0.000, 0.500) x1

No. 16
A plane-wave DFT calculation with PBE was carried out for a geometry-optimized Na6Cd23In structure.

Crystal system ... cubic

a b c (Å): 14.210 14.210 14.210
angles (deg): 90.00 90.00 90.00
Space group Fm-3m (No. 225)
Inequivalent atoms, fractional coordinates:
Na (0.000, 0.000, 0.235) x24
Cd (0.000, 0.000, 0.500) x4
Cd (0.000, 0.250, 0.250) x24
Cd (0.127, 0.127, 0.373) x32
Cd (0.145, 0.145, 0.145) x32
In (0.000, 0.000, 0.000) x4

No. 17
A plane-wave DFT calculation with PBE was carried out for a geometry-optimized Na12CdIn3 structure.

Crystal system ... tetragonal

a b c (Å): 4.995 4.995 19.344
angles (deg): 90.00 90.00 90.00
Space group P4/mmm (No. 123)
Inequivalent atoms, fractional coordinates:
Na (0.000, 0.000, 0.000) x1
Na (0.000, 0.000, 0.250) x2
Na (0.000, 0.000, 0.500) x1
Na (0.000, 0.500, 0.124) x4
Na (0.000, 0.500, 0.375) x4
Cd (0.500, 0.500, 0.500) x1
In (0.500, 0.500, 0.000) x1
In (0.500, 0.500, 0.249) x2

no.,density (Mg/m³),energy of formation (eV per atom),spin magnetization (μB/f.u.)
1,4.2,-0.11,0.00
2,7.2,0.00,0.00
3,5.7,-0.06,0.00
4,6.1,-0.03,0.00
5,5.9,0.00,0.00
6,1.7,-0.01,0.00
7,5.9,-0.01,0.00
8,6.9,0.01,0.00
9,3.8,-0.05,0.00
10,6.7,0.03,0.00
11,5.7,0.03,0.00
12,3.4,-0.06,0.00
13,7.2,-0.02,0.00
14,2.5,-0.04,0.00
15,6.1,-0.05,0.00
16,6.6,-0.07,0.00
17,2.5,-0.04,0.00